Entry 1:
The following is a DFT calculation (PBE-GGA) of crystalline Na2TeRhO4 at its relaxed geometry.

POSCAR file:
```
Na2TeRhO4
1.0
-2.971 2.971 3.243
2.971 -2.971 3.243
2.971 2.971 -3.243
Na Te Rh O
2 1 1 4
Direct
0.000 0.000 0.000
0.750 0.250 0.500
0.500 0.500 0.000
0.250 0.750 0.500
0.116 0.477 0.038
0.439 0.078 0.962
0.523 0.561 0.640
0.922 0.884 0.360
```

Values from the calculation:
Symmetry ... I-4
Crystal system ... tetragonal
Electronic total energy ... -5.06 eV per atom
Formation energy without anion corrections ... -90.2 kJ per mole of atoms

---

Entry 2:
The following is a DFT calculation (PBE-GGA) of crystalline Pm4P3H4 at its relaxed geometry.

POSCAR file:
```
Pm4P3H4
1.0
-3.567 3.567 3.567
3.567 -3.567 3.567
3.567 3.567 -3.567
Pm P H
4 3 4
Direct
0.000 0.000 0.621
0.000 0.621 0.000
0.379 0.379 0.379
0.621 0.000 0.000
0.000 0.500 0.500
0.500 0.000 0.500
0.500 0.500 0.000
0.000 0.000 0.241
0.000 0.241 0.000
0.241 0.000 0.000
0.759 0.759 0.759
```

Values from the calculation:
Symmetry ... I-43m
Crystal system ... cubic
Electronic total energy ... -5.32 eV per atom

---

Entry 3:
The following is a DFT calculation (PBE-GGA) of crystalline Ho6Sb3Pb at its relaxed geometry.

POSCAR file:
```
Ho6Sb3Pb
1.0
5.546 -7.386 0.000
5.546 7.386 0.000
0.000 0.000 7.549
Ho Sb Pb
12 6 2
Direct
0.005 0.995 0.500
0.076 0.523 0.000
0.246 0.754 0.360
0.274 0.381 0.393
0.381 0.274 0.893
0.477 0.924 0.000
0.523 0.076 0.500
0.619 0.726 0.393
0.726 0.619 0.893
0.754 0.246 0.860
0.924 0.477 0.500
0.995 0.005 0.000
0.087 0.281 0.728
0.281 0.087 0.228
0.418 0.582 0.081
0.582 0.418 0.581
0.719 0.913 0.728
0.913 0.719 0.228
0.176 0.824 0.748
0.824 0.176 0.248
```

Values from the calculation:
Symmetry ... Cmc2_1
Crystal system ... orthorhombic
Electronic total energy ... -5.00 eV per atom
Formation energy without anion corrections ... -62.7 kJ per mole of atoms

---

electronic total energy of number 1 (Na2TeRhO4)?
-5.06 eV per atom

---

What is the electronic total energy in the third record?
-5.00 eV per atom

---

Copy entry 1 word for word.
The following is a DFT calculation (PBE-GGA) of crystalline Na2TeRhO4 at its relaxed geometry.

POSCAR file:
```
Na2TeRhO4
1.0
-2.971 2.971 3.243
2.971 -2.971 3.243
2.971 2.971 -3.243
Na Te Rh O
2 1 1 4
Direct
0.000 0.000 0.000
0.750 0.250 0.500
0.500 0.500 0.000
0.250 0.750 0.500
0.116 0.477 0.038
0.439 0.078 0.962
0.523 0.561 0.640
0.922 0.884 0.360
```

Values from the calculation:
Symmetry ... I-4
Crystal system ... tetragonal
Electronic total energy ... -5.06 eV per atom
Formation energy without anion corrections ... -90.2 kJ per mole of atoms